No. 1
# MnTl2Ag PBE-GGA relaxed
# final energy = -3.785 eV/atom
# crystal system = monoclinic
# energy above the lowest structure with this stoichiometry = 110 meV per atom
data_MnTl2Ag
_cell_length_a 3.261
_cell_length_b 4.630
_cell_length_c 6.014
_cell_angle_alpha 90.00
_cell_angle_beta 97.54
_cell_angle_gamma 90.00
_symmetry_space_group_name_H-M 'P 1 2/m 1'
_symmetry_Int_Tables_number 10
_symmetry_space_group_name_Hall '-P 2y'
loop_
_atom_site_label
_atom_site_type_symbol
_atom_site_fract_x
_atom_site_fract_y
_atom_site_fract_z
_atom_site_occupancy
Mn1 Mn 0.000 0.000 0.000 1
Tl1 Tl 0.255 0.500 0.755 1
Ag1 Ag 0.500 0.000 0.500 1

No. 2
# MnTl2Ag PBE-GGA relaxed
# final energy = -3.830 eV/atom
# crystal system = orthorhombic
# energy above the lowest structure with this stoichiometry = 65 meV per atom
data_MnTl2Ag
_cell_length_a 6.607
_cell_length_b 8.079
_cell_length_c 3.274
_cell_angle_alpha 90.00
_cell_angle_beta 90.00
_cell_angle_gamma 90.00
_symmetry_space_group_name_H-M 'C m m m'
_symmetry_Int_Tables_number 65
_symmetry_space_group_name_Hall '-C 2 2'
loop_
_atom_site_label
_atom_site_type_symbol
_atom_site_fract_x
_atom_site_fract_y
_atom_site_fract_z
_atom_site_occupancy
Mn1 Mn 0.000 0.000 0.000 1
Tl1 Tl 0.250 0.250 0.500 1
Ag1 Ag 0.000 0.500 0.000 1

No. 3
# MnTlAg PBE-GGA relaxed
# final energy = -4.432 eV/atom
# crystal system = tetragonal
# energy above the lowest structure with this stoichiometry = 0 meV per atom
data_MnTlAg
_cell_length_a 3.184
_cell_length_b 3.184
_cell_length_c 11.754
_cell_angle_alpha 90.00
_cell_angle_beta 90.00
_cell_angle_gamma 90.00
_symmetry_space_group_name_H-M 'I 4 m m'
_symmetry_Int_Tables_number 107
_symmetry_space_group_name_Hall 'I 4 -2'
loop_
_atom_site_label
_atom_site_type_symbol
_atom_site_fract_x
_atom_site_fract_y
_atom_site_fract_z
_atom_site_occupancy
Mn1 Mn 0.000 0.000 0.000 1
Tl1 Tl 0.000 0.000 0.329 1
Ag1 Ag 0.000 0.000 0.642 1

No. 4
# MnTl2Ag PBE-GGA relaxed
# final energy = -3.834 eV/atom
# crystal system = tetragonal
# energy above the lowest structure with this stoichiometry = 61 meV per atom
data_MnTl2Ag
_cell_length_a 4.909
_cell_length_b 4.909
_cell_length_c 3.656
_cell_angle_alpha 90.00
_cell_angle_beta 90.00
_cell_angle_gamma 90.00
_symmetry_space_group_name_H-M 'P 4/m m m'
_symmetry_Int_Tables_number 123
_symmetry_space_group_name_Hall '-P 4 2'
loop_
_atom_site_label
_atom_site_type_symbol
_atom_site_fract_x
_atom_site_fract_y
_atom_site_fract_z
_atom_site_occupancy
Mn1 Mn 0.000 0.000 0.000 1
Tl1 Tl 0.000 0.500 0.500 1
Ag1 Ag 0.500 0.500 0.000 1

No. 5
# Mn2TlAg PBE-GGA relaxed
# final energy = -5.193 eV/atom
# crystal system = tetragonal
data_Mn2TlAg
_cell_length_a 7.469
_cell_length_b 7.469
_cell_length_c 5.710
_cell_angle_alpha 90.00
_cell_angle_beta 90.00
_cell_angle_gamma 90.00
_symmetry_space_group_name_H-M 'I -4 2 d'
_symmetry_Int_Tables_number 122
_symmetry_space_group_name_Hall 'I -4 2bw'
loop_
_atom_site_label
_atom_site_type_symbol
_atom_site_fract_x
_atom_site_fract_y
_atom_site_fract_z
_atom_site_occupancy
Mn1 Mn 0.238 0.250 0.125 1
Tl1 Tl 0.000 0.000 0.500 1
Ag1 Ag 0.000 0.000 0.000 1

No. 6
# MnTl2Ag PBE-GGA relaxed
# final energy = -3.783 eV/atom
# crystal system = orthorhombic
# energy above the lowest structure with this stoichiometry = 113 meV per atom
data_MnTl2Ag
_cell_length_a 3.390
_cell_length_b 5.568
_cell_length_c 9.471
_cell_angle_alpha 90.00
_cell_angle_beta 90.00
_cell_angle_gamma 90.00
_symmetry_space_group_name_H-M 'C m m m'
_symmetry_Int_Tables_number 65
_symmetry_space_group_name_Hall '-C 2 2'
loop_
_atom_site_label
_atom_site_type_symbol
_atom_site_fract_x
_atom_site_fract_y
_atom_site_fract_z
_atom_site_occupancy
Mn1 Mn 0.000 0.000 0.000 1
Tl1 Tl 0.000 0.500 0.244 1
Ag1 Ag 0.000 0.000 0.500 1

No. 7
# MnTl2Ag PBE-GGA relaxed
# final energy = -3.799 eV/atom
# crystal system = trigonal
# energy above the lowest structure with this stoichiometry = 96 meV per atom
data_MnTl2Ag
_cell_length_a 3.3763
_cell_length_b 3.3763
_cell_length_c 27.3644
_cell_angle_alpha 90.00
_cell_angle_beta 90.00
_cell_angle_gamma 120.00
_symmetry_space_group_name_H-M 'R -3 m'
_symmetry_Int_Tables_number 166
_symmetry_space_group_name_Hall '-R 3 2"'
loop_
_atom_site_label
_atom_site_type_symbol
_atom_site_fract_x
_atom_site_fract_y
_atom_site_fract_z
_atom_site_occupancy
Mn1 Mn 0.0000 0.0000 0.0000 1
Tl1 Tl 0.0000 0.0000 0.2515 1
Ag1 Ag 0.0000 0.0000 0.5000 1

No. 8
# Mn2TlAg PBE-GGA relaxed
# final energy = -5.356 eV/atom
# crystal system = trigonal
data_Mn2TlAg
_cell_length_a 3.1532
_cell_length_b 3.1532
_cell_length_c 26.9288
_cell_angle_alpha 90.00
_cell_angle_beta 90.00
_cell_angle_gamma 120.00
_symmetry_space_group_name_H-M 'R -3 m'
_symmetry_Int_Tables_number 166
_symmetry_space_group_name_Hall '-R 3 2"'
loop_
_atom_site_label
_atom_site_type_symbol
_atom_site_fract_x
_atom_site_fract_y
_atom_site_fract_z
_atom_site_occupancy
Mn1 Mn 0.0000 0.0000 0.2457 1
Tl1 Tl 0.0000 0.0000 0.0000 1
Ag1 Ag 0.0000 0.0000 0.5000 1

Number 1: calculated formation energy 0.403 eV per atom. Number 2: calculated formation energy 0.358 eV per atom. Number 3: calculated formation energy 0.364 eV per atom. Number 4: calculated formation energy 0.354 eV per atom. Number 5: calculated formation energy 0.696 eV per atom. Number 6: calculated formation energy 0.406 eV per atom. Number 7: calculated formation energy 0.389 eV per atom. Number 8: calculated formation energy 0.533 eV per atom.